(1)
The following is a DFT calculation (GGA-PBE) of an optimized crystal structure of NbGa2Si.

a = 7.2833 Å, b = 7.2833 Å, c = 5.2149 Å
α = 90.00°, β = 90.00°, γ = 90.00°
With the nearest neighbours (Å) after each atom.
Fractional coordinates of all 16 atoms:
Nb1 0.0000 0.0000 0.0000  2 Si 2.61, 4 Ga 2.78
Nb2 0.0000 0.5000 0.2500  2 Si 2.61, 4 Ga 2.78
Nb3 0.5000 0.0000 0.7500  2 Si 2.61, 4 Ga 2.78
Nb4 0.5000 0.5000 0.5000  2 Si 2.61, 4 Ga 2.78
Ga1 0.2254 0.2500 0.6250  2 Si 2.54, 2 Ga 2.63, 2 Nb 2.78
Ga2 0.2500 0.7254 0.8750  2 Si 2.54, 2 Ga 2.63, 2 Nb 2.78
Ga3 0.2500 0.7746 0.3750  2 Si 2.54, 2 Ga 2.63, 2 Nb 2.78
Ga4 0.2746 0.2500 0.1250  2 Si 2.54, 2 Ga 2.63, 2 Nb 2.78
Ga5 0.7254 0.7500 0.1250  2 Si 2.54, 2 Ga 2.63, 2 Nb 2.78
Ga6 0.7500 0.2254 0.3750  2 Si 2.54, 2 Ga 2.63, 2 Nb 2.78
Ga7 0.7500 0.2746 0.8750  2 Si 2.54, 2 Ga 2.63, 2 Nb 2.78
Ga8 0.7746 0.7500 0.6250  2 Si 2.54, 2 Ga 2.63, 2 Nb 2.78
Si1 0.0000 0.0000 0.5000  4 Ga 2.54, 2 Nb 2.61
Si2 0.0000 0.5000 0.7500  4 Ga 2.54, 2 Nb 2.61
Si3 0.5000 0.0000 0.2500  4 Ga 2.54, 2 Nb 2.61
Si4 0.5000 0.5000 0.0000  4 Ga 2.54, 2 Nb 2.61

Calculated values
Crystal system: tetragonal
Energy relative to the elements, uncorrected in eV per atom: 0.184



(2)
The following is a DFT calculation (GGA-PBE) of an optimized crystal structure of Nb2Ga2Si.

a = 6.6732 Å, b = 6.6732 Å, c = 3.9789 Å
α = 90.00°, β = 90.00°, γ = 90.00°
With the nearest neighbours (Å) after each atom.
Fractional coordinates of all 10 atoms:
Nb1 0.1666 0.3334 0.0000  2 Si 2.49, 2 Ga 2.69
Nb2 0.3334 0.8334 0.0000  2 Si 2.49, 2 Ga 2.69
Nb3 0.6666 0.1666 0.0000  2 Si 2.49, 2 Ga 2.69
Nb4 0.8334 0.6666 0.0000  2 Si 2.49, 2 Ga 2.69
Ga1 0.1408 0.6408 0.5000  1 Ga 2.66, 6 Nb 2.69-2.86
Ga2 0.3592 0.1408 0.5000  1 Ga 2.66, 6 Nb 2.69-2.86
Ga3 0.6408 0.8592 0.5000  1 Ga 2.66, 6 Nb 2.69-2.86
Ga4 0.8592 0.3592 0.5000  1 Ga 2.66, 6 Nb 2.69-2.86
Si1 0.0000 0.0000 0.0000  4 Nb 2.49
Si2 0.5000 0.5000 0.0000  4 Nb 2.49

Calculated values
Crystal system: tetragonal
Energy relative to the elements, uncorrected in eV per atom: -0.209



(3)
The following is a DFT calculation (GGA-PBE) of an optimized crystal structure of NbGaSi.

a = 5.9776 Å, b = 5.9776 Å, c = 5.9776 Å
α = 90.00°, β = 90.00°, γ = 90.00°
With the nearest neighbours (Å) after each atom.
Fractional coordinates of all 12 atoms:
Nb1 0.0838 0.0838 0.0838  3 Si 2.56, 4 Ga 2.74-2.85
Nb2 0.4162 0.9162 0.5838  3 Si 2.56, 4 Ga 2.74-2.85
Nb3 0.5838 0.4162 0.9162  3 Si 2.56, 4 Ga 2.74-2.85
Nb4 0.9162 0.5838 0.4162  3 Si 2.56, 4 Ga 2.74-2.85
Ga1 0.1813 0.3187 0.6813  3 Si 2.46, 1 Nb 2.74
Ga2 0.3187 0.6813 0.1813  3 Si 2.46, 1 Nb 2.74
Ga3 0.6813 0.1813 0.3187  3 Si 2.46, 1 Nb 2.74
Ga4 0.8187 0.8187 0.8187  3 Si 2.46, 1 Nb 2.74
Si1 0.0042 0.9958 0.4958  3 Ga 2.46, 3 Nb 2.56
Si2 0.4958 0.0042 0.9958  3 Ga 2.46, 3 Nb 2.56
Si3 0.5042 0.5042 0.5042  3 Ga 2.46, 3 Nb 2.56
Si4 0.9958 0.4958 0.0042  3 Ga 2.46, 3 Nb 2.56

Calculated values
Distance to the lowest polymorph of the same formula in eV/atom: 0.656
Crystal system: cubic
Energy relative to the elements, uncorrected in eV per atom: 0.196



(4)
The following is a DFT calculation (GGA-PBE) of an optimized crystal structure of Nb8Ga2Si.

a = 8.1914 Å, b = 8.1914 Å, c = 5.1654 Å
α = 95.43°, β = 95.43°, γ = 33.79°
With the nearest neighbours (Å) after each atom.
Fractional coordinates of all 11 atoms:
Nb1 0.0435 0.0435 0.2497  2 Si 2.76, 5 Nb 2.80-3.04, 2 Ga 2.99
Nb2 0.2298 0.2298 0.3423  2 Ga 2.77-2.98, 7 Nb 2.82-2.92
Nb3 0.3281 0.3281 0.9146  1 Si 2.69, 5 Nb 2.80-3.01, 3 Ga 2.82-2.83
Nb4 0.4129 0.4129 0.4631  6 Nb 2.72-3.01, 2 Ga 2.85, 2 Si 2.87-2.97
Nb5 0.5871 0.5871 0.5369  6 Nb 2.72-3.01, 2 Ga 2.85, 2 Si 2.87-2.97
Nb6 0.6719 0.6719 0.0854  1 Si 2.69, 5 Nb 2.80-3.01, 3 Ga 2.82-2.83
Nb7 0.7702 0.7702 0.6577  2 Ga 2.77-2.98, 7 Nb 2.82-2.92
Nb8 0.9565 0.9565 0.7503  2 Si 2.76, 5 Nb 2.80-3.04, 2 Ga 2.99
Ga1 0.1482 0.1482 0.7951  9 Nb 2.77-2.99
Ga2 0.8518 0.8518 0.2049  9 Nb 2.77-2.99
Si1 0.5000 0.5000 0.0000  10 Nb 2.69-2.97

Calculated values
Crystal system: monoclinic
Energy relative to the elements, uncorrected in eV per atom: -0.208



(5)
The following is a DFT calculation (GGA-PBE) of an optimized crystal structure of Nb6Ga2Si.

a = 8.0039 Å, b = 8.3318 Å, c = 4.6239 Å
α = 90.00°, β = 90.00°, γ = 90.00°
With the nearest neighbours (Å) after each atom.
Fractional coordinates of all 18 atoms:
Nb1 0.0052 0.1728 0.0000  1 Si 2.73, 3 Ga 2.74-2.75, 4 Nb 2.76-2.88
Nb2 0.1634 0.5807 0.5000  2 Si 2.74, 5 Nb 2.76-2.97, 4 Ga 2.77-3.04
Nb3 0.1721 0.9225 0.5000  1 Si 2.70, 3 Ga 2.71-3.00, 5 Nb 2.83-2.97
Nb4 0.3279 0.4225 0.0000  1 Si 2.70, 3 Ga 2.71-3.00, 5 Nb 2.83-2.97
Nb5 0.3366 0.0807 0.0000  2 Si 2.74, 5 Nb 2.76-2.97, 4 Ga 2.77-3.04
Nb6 0.4948 0.6728 0.5000  1 Si 2.73, 3 Ga 2.74-2.75, 4 Nb 2.76-2.88
Nb7 0.5052 0.3272 0.5000  1 Si 2.73, 3 Ga 2.74-2.75, 4 Nb 2.76-2.88
Nb8 0.6634 0.9193 0.0000  2 Si 2.74, 5 Nb 2.76-2.97, 4 Ga 2.77-3.04
Nb9 0.6721 0.5775 0.0000  1 Si 2.70, 3 Ga 2.71-3.00, 5 Nb 2.83-2.97
Nb10 0.8279 0.0775 0.5000  1 Si 2.70, 3 Ga 2.71-3.00, 5 Nb 2.83-2.97
Nb11 0.8366 0.4193 0.5000  2 Si 2.74, 5 Nb 2.76-2.97, 4 Ga 2.77-3.04
Nb12 0.9948 0.8272 0.0000  1 Si 2.73, 3 Ga 2.74-2.75, 4 Nb 2.76-2.88
Ga1 0.1717 0.2479 0.5000  9 Nb 2.71-3.00
Ga2 0.3283 0.7479 0.0000  9 Nb 2.71-3.00
Ga3 0.6717 0.2521 0.0000  9 Nb 2.71-3.00
Ga4 0.8283 0.7521 0.5000  9 Nb 2.71-3.00
Si1 0.0000 0.5000 0.0000  8 Nb 2.70-2.74
Si2 0.5000 0.0000 0.5000  8 Nb 2.70-2.74

Calculated values
Crystal system: orthorhombic
Energy relative to the elements, uncorrected in eV per atom: -0.306



(6)
The following is a DFT calculation (GGA-PBE) of an optimized crystal structure of SrNbGa2Si.

a = 5.0526 Å, b = 5.0526 Å, c = 4.9287 Å
α = 90.00°, β = 90.00°, γ = 90.00°
With the nearest neighbours (Å) after each atom.
Fractional coordinates of all 5 atoms:
Sr1 0.0000 0.0000 0.0000  8 Ga 3.53, 4 Si 3.57
Nb1 0.5000 0.5000 0.5000  2 Si 2.46, 4 Ga 2.53
Ga1 0.0000 0.5000 0.5000  2 Nb 2.53
Ga2 0.5000 0.0000 0.5000  2 Nb 2.53
Si1 0.5000 0.5000 0.0000  2 Nb 2.46

Calculated values
Crystal system: tetragonal
Energy relative to the elements, uncorrected in eV per atom: -0.152



Looking at DFT total energy for the records above, in order, we have -5.202 -6.532 -5.977 -8.575 -8.294 -4.797 eV per atom.
Looking at N(E_F) for the records above, in order, we have 3.1 3.0 0.8 9.9 4.0 2.7 states/eV/f.u..
Looking at magnetic moment for the records above, in order, we have 0.00 0.00 0.00 0.00 0.00 0.00 Bohr magnetons per cell.